# EuGdZn2, optimized geometry, DFT PBE
# * final energy: -78.376 eV per cell
# * M_tot: 0.4 μB per formula unit
data_EuGdZn2
_cell_length_a 3.5996
_cell_length_b 3.5996
_cell_length_c 31.8694
_cell_angle_alpha 90.00
_cell_angle_beta 90.00
_cell_angle_gamma 120.00
_space_group_name_H-M_alt 'R -3 m'
_space_group_IT_number 166
_space_group_name_Hall '-R 3 2"'
loop_
_atom_site_label
_atom_site_type_symbol
_atom_site_fract_x
_atom_site_fract_y
_atom_site_fract_z
Eu1 Eu 0.0000 0.0000 0.0000
Gd1 Gd 0.0000 0.0000 0.5000
Zn1 Zn 0.0000 0.0000 0.0966